# 1
DFT (PBE) results for crystalline Th2Cu3Ni12Sn at its relaxed geometry.

The space group is R-3m, No. 166. The calculation puts the total energy at -5.479 eV per atom.

POSCAR file:
```
Th2Cu3Ni12Sn
1.0
8.8250 1.5325 1.0870
5.6908 6.9169 1.0870
5.6908 3.3125 6.1686
Th Cu Ni Sn
2 3 12 1
Direct
0.6368 0.6368 0.6368
0.3632 0.3632 0.3632
0.5000 0.0000 0.0000
0.0000 0.5000 0.0000
0.0000 0.0000 0.5000
0.4172 0.4172 0.7973
0.8672 0.8672 0.4588
0.4588 0.8672 0.8672
0.7973 0.4172 0.4172
0.8672 0.4588 0.8672
0.4172 0.7973 0.4172
0.5828 0.5828 0.2027
0.1328 0.1328 0.5412
0.5412 0.1328 0.1328
0.2027 0.5828 0.5828
0.1328 0.5412 0.1328
0.5828 0.2027 0.5828
0.0000 0.0000 0.0000
```


# 2
DFT (PBE) results for crystalline TbSc8Cd2 at its relaxed geometry.

The space group is C2/m, No. 12. The calculation puts the total energy at -5.120 eV per atom.

POSCAR file:
```
TbSc8Cd2
1.0
5.1256 1.1342 0.0000
1.8348 8.0169 0.0000
0.9174 4.0085 7.1059
Tb Sc Cd
1 8 2
Direct
0.5000 0.0000 0.0000
0.8711 0.0966 0.2249
0.8711 0.3214 0.7751
0.2944 0.4145 0.0000
0.5000 0.7809 0.4381
0.5000 0.2191 0.5619
0.7056 0.5855 0.0000
0.1289 0.6786 0.2249
0.1289 0.9034 0.7751
0.0000 0.3066 0.3868
0.0000 0.6934 0.6132
```


# 3
DFT (PBE) results for crystalline Sr2CaMgZn at its relaxed geometry.

The space group is P4/mmm, No. 123. The calculation puts the total energy at -1.550 eV per atom.

POSCAR file:
```
Sr2CaMgZn
1.0
6.0527 0.0000 0.0000
0.0000 6.0527 0.0000
0.0000 0.0000 5.8195
Mg Sr Zn Ca
1 2 1 1
Direct
0.5000 0.5000 0.5000
0.0000 0.5000 0.0000
0.5000 0.0000 0.0000
0.0000 0.0000 0.0000
0.0000 0.0000 0.5000
```


# 4
DFT (PBE) results for crystalline SiPt2Pb at its relaxed geometry.

The space group is I-4m2, No. 119. For the energy relative to the elements, uncorrected, the calculation gives 2.2 kcal/mol of atoms. The calculation puts the total energy at -5.207 eV per atom.

POSCAR file:
```
SiPt2Pb
1.0
-2.1596 -3.4116 3.3162
0.7304 -4.9802 -1.4015
3.1554 4.1266 0.5609
Pb Pt Si
1 2 1
Direct
0.7500 0.2500 0.5000
0.0000 0.0000 0.0000
0.2500 0.7500 0.5000
0.5000 0.5000 0.0000
```


# 5
DFT (PBE) results for crystalline Tb2Nd3DySe6 at its relaxed geometry.

The space group is C2/m, No. 12. For the energy relative to the elements, uncorrected, the calculation gives -41.7 kcal/mol of atoms. The calculation puts the total energy at -5.897 eV per atom.

POSCAR file:
```
Tb2Nd3DySe6
1.0
-7.1689 -0.0108 -0.0159
3.6325 -1.3099 -6.0400
1.1936 -6.2807 3.4947
Tb Nd Dy Se
2 3 1 6
Direct
0.3333 0.6667 0.0000
0.6667 0.3333 0.0000
0.1676 0.8324 0.5000
0.8324 0.1676 0.5000
0.5000 0.5000 0.5000
0.0000 0.0000 0.0000
0.9212 0.5893 0.7633
0.7470 0.7470 0.2375
0.0788 0.4107 0.2367
0.5893 0.9212 0.7633
0.2530 0.2530 0.7625
0.4107 0.0788 0.2367
```


# 6
DFT (PBE) results for crystalline Ca2Be4SiGe3 at its relaxed geometry.

The space group is P-4m2, No. 115. For the energy relative to the elements, uncorrected, the calculation gives -6.1 kcal/mol of atoms. The calculation puts the total energy at -4.082 eV per atom.

POSCAR file:
```
Ca2Be4SiGe3
1.0
3.9847 0.0000 0.0000
0.0000 3.9847 0.0000
0.0000 0.0000 9.8791
Ca Be Si Ge
2 4 1 3
Direct
0.5000 0.0000 0.2488
0.0000 0.5000 0.7512
0.5000 0.5000 0.0000
0.0000 0.0000 0.0000
0.5000 0.0000 0.6327
0.0000 0.5000 0.3673
0.5000 0.5000 0.5000
0.0000 0.0000 0.5000
0.5000 0.0000 0.8669
0.0000 0.5000 0.1331
```


# 7
DFT (PBE) results for crystalline Tl2ReN at its relaxed geometry.

The space group is I-42d, No. 122. For the energy relative to the elements, uncorrected, the calculation gives 38.4 kcal/mol of atoms. The calculation puts the total energy at -4.713 eV per atom.

POSCAR file:
```
Tl2ReN
1.0
-3.3347 -5.9447 -1.4866
0.4068 -1.9035 6.6994
-4.1517 -2.5545 3.1587
Re Tl N
2 4 2
Direct
0.0000 0.0000 0.0000
0.7500 0.2500 0.5000
0.5700 0.1250 0.2500
0.1800 0.6250 0.2500
0.3750 0.4300 0.7500
0.8750 0.8200 0.7500
0.5000 0.5000 0.0000
0.2500 0.7500 0.5000
```


# 8
DFT (PBE) results for crystalline CsNa2TlAu at its relaxed geometry.

The space group is P4/mmm, No. 123. The calculation puts the total energy at -1.849 eV per atom.

POSCAR file:
```
CsNa2TlAu
1.0
-2.4541 -2.5162 4.9742
-3.7795 -3.2438 -3.5056
3.6438 -4.0011 -0.2263
Cs Na Tl Au
1 2 1 1
Direct
0.5000 0.5000 0.5000
0.0000 0.5000 0.0000
0.5000 0.0000 0.0000
0.0000 0.0000 0.0000
0.0000 0.0000 0.5000
```


Look up the total energy of the third one.
-1.550 eV per atom